(1)
The following is a PBE calculation of a geometry-optimized La2HgIr structure, from the Alexandria database.

abc: 4.4693 4.1979 6.3212
angles: 90.00 110.70 90.00
Space group Pm (No. 6)
Inequivalent atoms, fractional coordinates:
La1 0.0000 0.0000 0.0000 x1
La2 0.2933 0.5000 0.5879 x1
Hg1 0.7065 0.0000 0.4144 x1
Ir1 0.5264 0.5000 0.0503 x1

Calculated values
**Energy of formation from the pure elements**: -551 meV per atom


(2)
The following is a PBE calculation of a geometry-optimized La2HgIr structure, from the Alexandria database.

abc: 4.5560 4.5560 9.4041
angles: 90.00 90.00 90.00
Space group I-4m2 (No. 119)
Inequivalent atoms, fractional coordinates:
La1 0.0000 0.0000 0.0000 x2
La2 0.0000 0.5000 0.2500 x2
Hg1 0.0000 0.5000 0.7500 x2
Ir1 0.0000 0.0000 0.5000 x2

Calculated values
**Energy of formation from the pure elements**: -333 meV per atom


(3)
The following is a PBE calculation of a geometry-optimized La2HgIr structure, from the Alexandria database.

abc: 8.0722 8.0722 7.3563
angles: 90.00 90.00 90.00
Space group I-42d (No. 122)
Inequivalent atoms, fractional coordinates:
La1 0.2012 0.7500 0.1250 x8
Hg1 0.0000 0.0000 0.5000 x4
Ir1 0.0000 0.0000 0.0000 x4

Calculated values
**Energy of formation from the pure elements**: -358 meV per atom